In3SnRh4: relaxed, GGA-PBE.

Summary:
The volume comes out at 17.0 Å³/atom. For the formation energy, the calculation gives -0.409 eV/atom. The calculation puts the total energy at -5.612 eV/atom. The space group is I4/mmm (139).

```
In3SnRh4
1.0
-2.6927 2.1401 2.7696
-1.1807 -3.8463 1.8200
7.1463 1.4365 2.3186
Sn Rh In
1 4 3
direct
0.5000 0.0000 0.0000 Sn
0.8782 0.8782 0.7558 Rh
0.1218 0.1218 0.2442 Rh
0.3781 0.3783 0.7559 Rh
0.6219 0.6217 0.2441 Rh
0.2490 0.7490 0.4979 In
0.0000 0.5000 0.0000 In
0.7510 0.2510 0.5021 In
```